A geometry-optimized Si2AgRh structure, computed with GGA-PBE.

## Properties
- symmetry = No. 99
- total energy (eV per atom) = -5.40
- offset from the most stable computed form (meV per atom) = 29
- raw formation energy (eV per atom) = -0.140
- magnetization (μB per atom) = 0.0000

Unit cell a=3.392 b=3.392 c=5.161 alpha=90.00 beta=90.00 gamma=90.00
Atoms (fractional coordinates):
Si 0.000 0.000 0.000
Si 0.500 0.500 0.298
Ag 0.000 0.000 0.505
Rh 0.500 0.500 0.835



A geometry-optimized LaTl2Cd structure, computed with GGA-PBE.

## Properties
- symmetry = No. 65
- total energy (eV per atom) = -2.71
- ΔE_f (kJ/mol of formula units) = -26
- magnetization (μB per atom) = 0.0000

Unit cell a=3.527 b=3.527 c=10.315 alpha=90.00 beta=90.00 gamma=113.87
Atoms (fractional coordinates):
La 0.000 0.000 0.000
Tl 0.500 0.500 0.269
Tl 0.500 0.500 0.731
Cd 0.000 0.000 0.500